# 1
Material: PmGe
Method: DFT, PBE
State: optimized geometry

Structure (CIF):
```
data_PmGe
_space_group_name_H-M_alt 'P 63/m m c'
_space_group_IT_number 194
_space_group_name_Hall '-P 6c 2c'
_cell_length_a 4.5845
_cell_length_b 4.5845
_cell_length_c 6.0291
_cell_angle_alpha 90.00
_cell_angle_beta 90.00
_cell_angle_gamma 120.00
loop_
_atom_site_label
_atom_site_fract_x
_atom_site_fract_y
_atom_site_fract_z
Pm1 0.3333 0.6667 0.2500
Ge1 0.0000 0.0000 0.0000
```

Final energy in eV/atom: -5.46
Crystal system: hexagonal


# 2
Material: PmGe
Method: DFT, PBE
State: optimized geometry

Structure (CIF):
```
data_PmGe
_space_group_name_H-M_alt 'F m -3 m'
_space_group_IT_number 225
_space_group_name_Hall '-F 4 2 3'
_cell_length_a 6.0279
_cell_length_b 6.0279
_cell_length_c 6.0279
_cell_angle_alpha 90.00
_cell_angle_beta 90.00
_cell_angle_gamma 90.00
loop_
_atom_site_label
_atom_site_fract_x
_atom_site_fract_y
_atom_site_fract_z
Pm1 0.0000 0.0000 0.0000
Ge1 0.0000 0.0000 0.5000
```

Final energy in eV/atom: -5.35
Crystal system: cubic


# 3
Material: PmGe
Method: DFT, PBE
State: optimized geometry

Structure (CIF):
```
data_PmGe
_space_group_name_H-M_alt 'P -6 m 2'
_space_group_IT_number 187
_space_group_name_Hall 'P -6 2'
_cell_length_a 3.8512
_cell_length_b 3.8512
_cell_length_c 4.2503
_cell_angle_alpha 90.00
_cell_angle_beta 90.00
_cell_angle_gamma 120.00
loop_
_atom_site_label
_atom_site_fract_x
_atom_site_fract_y
_atom_site_fract_z
Pm1 0.0000 0.0000 0.0000
Ge1 0.3333 0.6667 0.5000
```

Final energy in eV/atom: -5.12
Crystal system: hexagonal


# 4
Material: PmGe2Pt2
Method: DFT, PBE
State: optimized geometry

Structure (CIF):
```
data_PmGe2Pt2
_space_group_name_H-M_alt 'P 4/n m m'
_space_group_IT_number 129
_cell_length_a 4.3788
_cell_length_b 4.3788
_cell_length_c 10.0298
_cell_angle_alpha 90.00
_cell_angle_beta 90.00
_cell_angle_gamma 90.00
loop_
_space_group_symop_operation_xyz
'x,y,z'
'-x,-y,-z'
'-y+1/2,x,z'
'y+1/2,-x,-z'
'-x+1/2,-y+1/2,z'
'x+1/2,y+1/2,-z'
'y,-x+1/2,z'
'-y,x+1/2,-z'
'x+1/2,-y,-z'
'-x+1/2,y,z'
'-y,-x,-z'
'y,x,z'
'-x,y+1/2,-z'
'x,-y+1/2,z'
'y+1/2,x+1/2,-z'
'-y+1/2,-x+1/2,z'
loop_
_atom_site_label
_atom_site_fract_x
_atom_site_fract_y
_atom_site_fract_z
Pm1 0.2500 0.2500 0.2489
Ge1 0.2500 0.2500 0.6299
Ge2 0.2500 0.7500 0.0000
Pt1 0.2500 0.2500 0.8746
Pt2 0.2500 0.7500 0.5000
```

Final energy in eV/atom: -6.14
Crystal system: tetragonal


# 5
Material: Pm3Ge3Pt2
Method: DFT, PBE
State: optimized geometry

Structure (CIF):
```
data_Pm3Ge3Pt2
_space_group_name_H-M_alt 'C m c m'
_space_group_IT_number 63
_space_group_name_Hall '-C 2c 2'
_cell_length_a 4.4150
_cell_length_b 10.7360
_cell_length_c 14.7827
_cell_angle_alpha 90.00
_cell_angle_beta 90.00
_cell_angle_gamma 90.00
loop_
_atom_site_label
_atom_site_fract_x
_atom_site_fract_y
_atom_site_fract_z
Pm1 0.0000 0.0945 0.1089
Pm2 0.0000 0.3716 0.2500
Ge1 0.0000 0.3340 0.7500
Ge2 0.0000 0.3824 0.0343
Pt1 0.0000 0.1912 0.6045
```

Final energy in eV/atom: -6.06
Crystal system: orthorhombic


# 6
Material: Pm3Ge2Pt4
Method: DFT, PBE
State: optimized geometry

Structure (CIF):
```
data_Pm3Ge2Pt4
_space_group_name_H-M_alt 'C 1 2/m 1'
_space_group_IT_number 12
_space_group_name_Hall '-C 2y'
_cell_length_a 10.6318
_cell_length_b 4.4341
_cell_length_c 8.7342
_cell_angle_alpha 90.00
_cell_angle_beta 112.25
_cell_angle_gamma 90.00
loop_
_atom_site_label
_atom_site_fract_x
_atom_site_fract_y
_atom_site_fract_z
Pm1 0.0000 0.0000 0.0000
Pm2 0.1370 0.5000 0.6908
Ge1 0.1599 0.5000 0.3275
Pt1 0.0949 0.0000 0.4139
Pt2 0.2185 0.5000 0.0730
```

Final energy in eV/atom: -6.37
Crystal system: monoclinic


# 7
Material: Pm2Ge3Pt
Method: DFT, PBE
State: optimized geometry

Structure (CIF):
```
data_Pm2Ge3Pt
_space_group_name_H-M_alt 'P m m 2'
_space_group_IT_number 25
_space_group_name_Hall 'P 2 -2'
_cell_length_a 4.1255
_cell_length_b 4.4216
_cell_length_c 7.2751
_cell_angle_alpha 90.00
_cell_angle_beta 90.00
_cell_angle_gamma 90.00
loop_
_atom_site_label
_atom_site_fract_x
_atom_site_fract_y
_atom_site_fract_z
Pm1 0.0000 0.0000 0.0000
Pm2 0.0000 0.5000 0.4988
Ge1 0.5000 0.0000 0.6624
Ge2 0.5000 0.5000 0.1733
Ge3 0.5000 0.5000 0.8303
Pt1 0.5000 0.0000 0.3256
```

Final energy in eV/atom: -5.78
Crystal system: orthorhombic


# 8
Material: Pm4GeS3
Method: DFT, PBE
State: optimized geometry

Structure (CIF):
```
data_Pm4GeS3
_space_group_name_H-M_alt 'P m -3 m'
_space_group_IT_number 221
_space_group_name_Hall '-P 4 2 3'
_cell_length_a 5.7903
_cell_length_b 5.7903
_cell_length_c 5.7903
_cell_angle_alpha 90.00
_cell_angle_beta 90.00
_cell_angle_gamma 90.00
loop_
_atom_site_label
_atom_site_fract_x
_atom_site_fract_y
_atom_site_fract_z
Pm1 0.0000 0.0000 0.0000
Pm2 0.0000 0.5000 0.5000
Ge1 0.5000 0.5000 0.5000
S1 0.0000 0.0000 0.5000
```

Final energy in eV/atom: -6.29
Crystal system: cubic


# 9
Material: Pm5Ge2Sb2
Method: DFT, PBE
State: optimized geometry

Structure (CIF):
```
data_Pm5Ge2Sb2
_space_group_name_H-M_alt 'C m c e'
_space_group_IT_number 64
_space_group_name_Hall '-C 2ac 2'
_cell_length_a 15.5707
_cell_length_b 8.1228
_cell_length_c 8.1555
_cell_angle_alpha 90.00
_cell_angle_beta 90.00
_cell_angle_gamma 90.00
loop_
_atom_site_label
_atom_site_fract_x
_atom_site_fract_y
_atom_site_fract_z
Pm1 0.0000 0.0000 0.0000
Pm2 0.1293 0.1688 0.3330
Ge1 0.0000 0.1325 0.6319
Sb1 0.2052 0.0000 0.0000
```

Final energy in eV/atom: -5.56
Crystal system: orthorhombic


# 10
Material: Pm4GeSe3
Method: DFT, PBE
State: optimized geometry

Structure (CIF):
```
data_Pm4GeSe3
_space_group_name_H-M_alt 'P m -3 m'
_space_group_IT_number 221
_space_group_name_Hall '-P 4 2 3'
_cell_length_a 5.9587
_cell_length_b 5.9587
_cell_length_c 5.9587
_cell_angle_alpha 90.00
_cell_angle_beta 90.00
_cell_angle_gamma 90.00
loop_
_atom_site_label
_atom_site_fract_x
_atom_site_fract_y
_atom_site_fract_z
Pm1 0.0000 0.0000 0.0000
Pm2 0.0000 0.5000 0.5000
Ge1 0.5000 0.5000 0.5000
Se1 0.0000 0.0000 0.5000
```

Final energy in eV/atom: -5.93
Crystal system: cubic


# 11
Material: Pm5GeSe4
Method: DFT, PBE
State: optimized geometry

Structure (CIF):
```
data_Pm5GeSe4
_space_group_name_H-M_alt 'I 4/m'
_space_group_IT_number 87
_space_group_name_Hall '-I 4'
_cell_length_a 9.4443
_cell_length_b 9.4443
_cell_length_c 5.9483
_cell_angle_alpha 90.00
_cell_angle_beta 90.00
_cell_angle_gamma 90.00
loop_
_atom_site_label
_atom_site_fract_x
_atom_site_fract_y
_atom_site_fract_z
Pm1 0.0000 0.0000 0.0000
Pm2 0.0974 0.2930 0.5000
Ge1 0.0000 0.0000 0.5000
Se1 0.0989 0.3012 0.0000
```

Final energy in eV/atom: -5.94
Crystal system: tetragonal


# 12
Material: Pm4Si2Ge5
Method: DFT, PBE
State: optimized geometry

Structure (CIF):
```
data_Pm4Si2Ge5
_space_group_name_H-M_alt 'P 1 2/m 1'
_space_group_IT_number 10
_space_group_name_Hall '-P 2y'
_cell_length_a 7.0102
_cell_length_b 4.2902
_cell_length_c 8.1348
_cell_angle_alpha 90.00
_cell_angle_beta 91.72
_cell_angle_gamma 90.00
loop_
_atom_site_label
_atom_site_fract_x
_atom_site_fract_y
_atom_site_fract_z
Pm1 0.2312 0.0000 0.3690
Pm2 0.2465 0.0000 0.8852
Si1 0.0883 0.5000 0.1258
Ge1 0.1234 0.5000 0.6251
Ge2 0.4420 0.5000 0.1556
Ge3 0.5000 0.5000 0.5000
```

Final energy in eV/atom: -5.53
Crystal system: monoclinic


# 13
Material: PmSiGe
Method: DFT, PBE
State: optimized geometry

Structure (CIF):
```
data_PmSiGe
_space_group_name_H-M_alt 'F -4 3 m'
_space_group_IT_number 216
_space_group_name_Hall 'F -4 2 3'
_cell_length_a 6.6481
_cell_length_b 6.6481
_cell_length_c 6.6481
_cell_angle_alpha 90.00
_cell_angle_beta 90.00
_cell_angle_gamma 90.00
loop_
_atom_site_label
_atom_site_fract_x
_atom_site_fract_y
_atom_site_fract_z
Pm1 0.0000 0.0000 0.0000
Si1 0.0000 0.0000 0.5000
Ge1 0.2500 0.2500 0.2500
```

Crystal system: cubic
Excess energy over the best structure of this formula in the dataset in eV/atom: 0.070